# 1
## RbGa2CuS4 (PBE-GGA)

Data for RbGa2CuS4 after structural relaxation.

Cell: 5.544 5.544 12.456 Å, 90.00 90.00 90.00°
Space group I-42m (No. 121)
Inequivalent atoms, fractional coordinates:
Rb 0.000 0.000 0.000
Ga 0.000 0.500 0.250
Cu 0.000 0.000 0.500
S 0.204 0.204 0.648

The density of states at the Fermi level is 0.335 states/eV/atom. The formation energy (no corrections) is -556 meV per atom.

=====

# 2
## RbSc2GaCu (PBE-GGA)

Data for RbSc2GaCu after structural relaxation.

Cell: 5.073 5.073 5.323 Å, 90.00 90.00 90.00°
Space group P4/mmm (No. 123)
Inequivalent atoms, fractional coordinates:
Rb 0.000 0.000 0.000
Sc 0.000 0.500 0.000
Ga 0.000 0.000 0.500
Cu 0.500 0.500 0.500

The density of states at the Fermi level is 1.015 states/eV/atom. As for the calculated formation energy: 8.79 eV per formula unit.

=====

# 3
## RbGa2CuTe4 (PBE-GGA)

Data for RbGa2CuTe4 after structural relaxation.

Cell: 6.783 8.704 9.530 Å, 90.00 90.00 90.00°
Space group I222 (No. 23)
Inequivalent atoms, fractional coordinates:
Rb 0.000 0.000 0.000
Ga 0.000 0.500 0.163
Cu 0.000 0.000 0.500
Te 0.209 0.178 0.667

The formation energy (no corrections) is -223 meV per atom.

=====

# 4
## RbGaCuTe2 (PBE-GGA)

Data for RbGaCuTe2 after structural relaxation.

Cell: 5.424 5.424 6.469 Å, 90.00 90.00 90.00°
Space group P4/mmm (No. 123)
Inequivalent atoms, fractional coordinates:
Rb 0.000 0.000 0.000
Ga 0.000 0.000 0.500
Cu 0.500 0.500 0.000
Te 0.000 0.500 0.500

The density of states at the Fermi level is 0.984 states/eV/atom. The formation energy (no corrections) is 424 meV per atom.

=====

# 5
## GaCu2Re (PBE-GGA)

Data for GaCu2Re after structural relaxation.

Cell: 3.560 3.560 18.506 Å, 90.00 90.00 90.00°
Space group I-42d (No. 122)
Inequivalent atoms, fractional coordinates:
Ga 0.000 0.000 0.000
Cu 0.246 0.250 0.625
Re 0.000 0.000 0.500

The density of states at the Fermi level is 0.131 states/eV/atom. As for the calculated formation energy: 2.10 eV per formula unit.

=====

# 6
## GaCuRe2 (PBE-GGA)

Data for GaCuRe2 after structural relaxation.

Cell: 6.937 6.937 5.130 Å, 90.00 90.00 90.00°
Space group I-42d (No. 122)
Inequivalent atoms, fractional coordinates:
Ga 0.000 0.000 0.000
Cu 0.000 0.000 0.500
Re 0.236 0.250 0.625

The density of states at the Fermi level is 0.873 states/eV/atom. As for the calculated formation energy: 3.55 eV per formula unit.

=====

# 7
## Ga6CuRe (PBE-GGA)

Data for Ga6CuRe after structural relaxation.

Cell: 4.287 12.199 5.548 Å, 90.00 90.28 90.00°
Space group C2/m (No. 12)
Inequivalent atoms, fractional coordinates:
Ga 0.001 0.000 0.250
Ga 0.002 0.316 0.248
Cu 0.000 0.500 0.500
Re 0.000 0.500 0.000

The density of states at the Fermi level is 0.603 states/eV/atom. As for the calculated formation energy: 0.29 eV per formula unit.

=====

# 8
## Ga3CuRe (PBE-GGA)

Data for Ga3CuRe after structural relaxation.

Cell: 4.824 4.824 4.824 Å, 90.00 90.00 90.00°
Space group Pm-3m (No. 221)
Inequivalent atoms, fractional coordinates:
Ga 0.000 0.000 0.500
Cu 0.500 0.500 0.500
Re 0.000 0.000 0.000

The density of states at the Fermi level is 0.504 states/eV/atom. As for the calculated formation energy: 3.07 eV per formula unit.

=====

# 9
## GaCu2Re (PBE-GGA)

Data for GaCu2Re after structural relaxation.

Cell: 2.6849 2.6849 27.9458 Å, 90.00 90.00 120.00°
Space group R-3m (No. 166, hexagonal axes)
Inequivalent atoms, fractional coordinates:
Ga 0.0000 0.0000 0.0000
Cu 0.0000 0.0000 0.4087
Re 0.0000 0.0000 0.5000

The density of states at the Fermi level is 0.533 states/eV/atom. As for the calculated formation energy: 1.76 eV per formula unit.

=====

# 10
## Ga2CuRe2 (PBE-GGA)

Data for Ga2CuRe2 after structural relaxation.

Cell: 6.730 6.730 3.434 Å, 90.00 90.00 90.00°
Space group P4/mbm (No. 127)
Inequivalent atoms, fractional coordinates:
Ga 0.167 0.333 0.000
Cu 0.000 0.000 0.500
Re 0.133 0.633 0.500

The density of states at the Fermi level is 0.802 states/eV/atom. As for the calculated formation energy: 1.81 eV per formula unit.

=====

# 11
## Ti2GaCuRe (PBE-GGA)

Data for Ti2GaCuRe after structural relaxation.

Cell: 4.534 4.534 4.203 Å, 90.00 90.00 90.00°
Space group P4/mmm (No. 123)
Inequivalent atoms, fractional coordinates:
Ti 0.000 0.500 0.000
Ga 0.000 0.000 0.500
Cu 0.000 0.000 0.000
Re 0.500 0.500 0.500

The density of states at the Fermi level is 1.036 states/eV/atom. As for the calculated formation energy: 4.07 eV per formula unit.

=====

# 12
## VGaCuRe (PBE-GGA)

Data for VGaCuRe after structural relaxation.

Cell: 6.049 6.049 6.049 Å, 90.00 90.00 90.00°
Space group F-43m (No. 216)
Inequivalent atoms, fractional coordinates:
V 0.000 0.000 0.000
Ga 0.000 0.000 0.500
Cu 0.250 0.250 0.250
Re 0.250 0.250 0.750

The density of states at the Fermi level is 0.585 states/eV/atom. As for the calculated formation energy: 0.19 eV per formula unit.